## Cu9Ag (PBE-GGA)

Data for a relaxed structure of Cu9Ag.

## Properties
ΔH_f (0 K)	0.039	eV/atom
VASP energy	-3.59	eV/atom
theoretical density	9.1	g cm⁻³
space group	C2/m
polymorph energy (0 for the lowest one)	3	meV/atom

Unit cell a=4.5061 b=4.5061 c=8.2230 alpha=90.33 beta=90.33 gamma=47.96
Last column: nearest neighbours and their distance in Å.
Element x y z (fractional)
Ag1 0.5000 0.5000 0.5000  12 Cu 2.62-2.68
Cu1 0.0000 0.0000 0.0000  12 Cu 2.53-2.60
Cu2 0.5991 0.5991 0.1908  11 Cu 2.52-2.62, 1 Ag 2.68
Cu3 0.2990 0.2990 0.0972  12 Cu 2.52-2.60
Cu4 0.8947 0.8947 0.2887  10 Cu 2.53-2.77, 2 Ag 2.67
Cu5 0.7996 0.7996 0.6107  9 Cu 2.54-2.77, 3 Ag 2.62-2.63
Cu6 0.7010 0.7010 0.9028  12 Cu 2.52-2.60
Cu7 0.2004 0.2004 0.3893  9 Cu 2.54-2.77, 3 Ag 2.62-2.63
Cu8 0.1053 0.1053 0.7113  10 Cu 2.53-2.77, 2 Ag 2.67
Cu9 0.4009 0.4009 0.8092  11 Cu 2.52-2.62, 1 Ag 2.68